A plane-wave DFT calculation with PBE was carried out for an optimized crystal structure of Nd6Y16Tm7.

a = 11.204 Å, b = 11.204 Å, c = 11.204 Å
α = 60.00°, β = 60.00°, γ = 60.00°
Last column: magnetic moment on the atom in μB.
Positions (direct):
Nd 0.284 0.716 0.284  0.24
Nd 0.716 0.284 0.716  0.24
Nd 0.716 0.284 0.284  0.24
Nd 0.284 0.716 0.716  0.24
Nd 0.716 0.716 0.284  0.24
Nd 0.284 0.284 0.716  0.24
Y 0.879 0.879 0.364  0.09
Y 0.879 0.879 0.879  0.09
Y 0.879 0.364 0.879  0.09
Y 0.364 0.879 0.879  0.09
Y 0.121 0.121 0.121  0.09
Y 0.121 0.121 0.636  0.09
Y 0.121 0.636 0.121  0.09
Y 0.636 0.121 0.121  0.09
Y 0.655 0.655 0.035  0.17
Y 0.655 0.655 0.655  0.17
Y 0.655 0.035 0.655  0.17
Y 0.035 0.655 0.655  0.17
Y 0.345 0.345 0.345  0.17
Y 0.345 0.345 0.965  0.17
Y 0.345 0.965 0.345  0.17
Y 0.965 0.345 0.345  0.17
Tm 0.000 0.000 0.000  0.04
Tm 0.500 0.000 0.500  0.11
Tm 0.000 0.500 0.000  0.11
Tm 0.000 0.500 0.500  0.11
Tm 0.500 0.000 0.000  0.11
Tm 0.000 0.000 0.500  0.11
Tm 0.500 0.500 0.000  0.11

## Properties
Energy of formation from the pure elements, eV per atom: 0.236
Space group: Fm-3m
Calculated density, g/cm³: 5.79
DOS(E_F), states/eV per cell: 50.823